Computed, not measured: SnIr3Pd after structural relaxation at the PBE level of DFT.

Its volume is 21.7 Å³ per atom. The calculation puts the distance to the lowest polymorph of the same formula at 0.0000 eV/atom. The formation energy comes out at 1.7752 eV/atom.

Cell: 4.772 4.772 4.772 Å, 90.00 90.00 90.00°
Positions (direct):
Sn 0.000 0.000 0.000
Ir 0.000 0.500 0.500
Ir 0.500 0.000 0.500
Ir 0.500 0.500 0.000
Pd 0.500 0.500 0.500

Computed, not measured: Sn4IrPd after structural relaxation at the PBE level of DFT.

Its volume is 22.1 Å³ per atom. The calculation puts the distance to the lowest polymorph of the same formula at 0.1075 eV/atom. The formation energy comes out at -0.2239 eV/atom.

Cell: 4.398 4.398 7.319 Å, 92.00 92.00 69.67°
Positions (direct):
Sn 0.141 0.141 0.363
Sn 0.342 0.342 0.871
Sn 0.658 0.658 0.129
Sn 0.859 0.859 0.637
Ir 0.000 0.000 0.000
Pd 0.500 0.500 0.500

Computed, not measured: Sn2IrPd after structural relaxation at the PBE level of DFT.

Its volume is 20.7 Å³ per atom. The calculation puts the distance to the lowest polymorph of the same formula at 0.2633 eV/atom. The formation energy comes out at 0.0630 eV/atom.

Cell: 9.431 9.431 9.431 Å, 19.64 19.64 19.64°
Positions (direct):
Sn 0.094 0.094 0.094
Sn 0.906 0.906 0.906
Ir 0.500 0.500 0.500
Pd 0.000 0.000 0.000

Computed, not measured: Sn5IrPd after structural relaxation at the PBE level of DFT.

Its volume is 26.8 Å³ per atom. The formation energy comes out at -0.0895 eV/atom.

Cell: 6.830 6.830 9.724 Å, 112.61 112.61 69.54°
Positions (direct):
Sn 0.121 0.879 0.750
Sn 0.153 0.340 0.696
Sn 0.187 0.601 0.033
Sn 0.340 0.153 0.196
Sn 0.399 0.813 0.467
Sn 0.601 0.187 0.533
Sn 0.660 0.847 0.804
Sn 0.813 0.399 0.967
Sn 0.847 0.660 0.304
Sn 0.879 0.121 0.250
Ir 0.000 0.000 0.000
Ir 0.000 0.000 0.500
Pd 0.465 0.535 0.750
Pd 0.535 0.465 0.250

Computed, not measured: Sn2Ir2Pd after structural relaxation at the PBE level of DFT.

Its volume is 17.9 Å³ per atom. The calculation puts the distance to the lowest polymorph of the same formula at 0.0000 eV/atom. The formation energy comes out at -0.1268 eV/atom.

Cell: 7.643 7.643 3.058 Å, 90.00 90.00 90.00°
Positions (direct):
Sn 0.162 0.338 0.000
Sn 0.338 0.838 0.000
Sn 0.662 0.162 0.000
Sn 0.838 0.662 0.000
Ir 0.137 0.637 0.500
Ir 0.363 0.137 0.500
Ir 0.637 0.863 0.500
Ir 0.863 0.363 0.500
Pd 0.000 0.000 0.500
Pd 0.500 0.500 0.500

Computed, not measured: Sn2IrPd2 after structural relaxation at the PBE level of DFT.

Its volume is 18.2 Å³ per atom. The formation energy comes out at -0.1333 eV/atom.

Cell: 7.321 7.321 3.399 Å, 90.00 90.00 90.00°
Positions (direct):
Sn 0.161 0.339 0.000
Sn 0.339 0.839 0.000
Sn 0.661 0.161 0.000
Sn 0.839 0.661 0.000
Ir 0.000 0.000 0.000
Ir 0.500 0.500 0.000
Pd 0.138 0.638 0.500
Pd 0.362 0.138 0.500
Pd 0.638 0.862 0.500
Pd 0.862 0.362 0.500

Computed, not measured: Sn4IrPd2 after structural relaxation at the PBE level of DFT.

Its volume is 24.7 Å³ per atom. The formation energy comes out at -0.0189 eV/atom.

Cell: 7.506 7.506 7.506 Å, 140.07 140.07 57.74°
Positions (direct):
Sn 0.000 0.500 0.500
Sn 0.201 0.201 0.000
Sn 0.500 0.000 0.500
Sn 0.799 0.799 0.000
Ir 0.000 0.000 0.000
Pd 0.397 0.397 0.000
Pd 0.603 0.603 0.000

Computed, not measured: Sn2IrPd after structural relaxation at the PBE level of DFT.

Its volume is 27.0 Å³ per atom. The calculation puts the distance to the lowest polymorph of the same formula at 0.3675 eV/atom. The formation energy comes out at 0.1672 eV/atom.

Cell: 7.132 7.132 7.132 Å, 128.52 128.52 75.79°
Positions (direct):
Sn 0.116 0.625 0.991
Sn 0.375 0.366 0.491
Sn 0.634 0.125 0.009
Sn 0.875 0.884 0.509
Ir 0.000 0.000 0.000
Ir 0.750 0.250 0.500
Pd 0.250 0.750 0.500
Pd 0.500 0.500 0.000

Computed, not measured: SnIr2Pd after structural relaxation at the PBE level of DFT.

Its volume is 17.8 Å³ per atom. The formation energy comes out at 0.3037 eV/atom.

Cell: 9.926 9.926 9.926 Å, 157.54 157.54 31.97°
Positions (direct):
Sn 0.000 0.000 0.000
Sn 0.750 0.250 0.500
Ir 0.160 0.625 0.035
Ir 0.375 0.410 0.535
Ir 0.590 0.125 0.965
Ir 0.875 0.840 0.465
Pd 0.250 0.750 0.500
Pd 0.500 0.500 0.000

Computed, not measured: Sn6Ir2Pd after structural relaxation at the PBE level of DFT.

Its volume is 22.6 Å³ per atom. The calculation puts the distance to the lowest polymorph of the same formula at 0.0268 eV/atom. The formation energy comes out at -0.1918 eV/atom.

Cell: 6.778 6.659 9.864 Å, 90.00 114.01 90.00°
Positions (direct):
Sn 0.095 0.022 0.291
Sn 0.095 0.478 0.791
Sn 0.284 0.679 0.092
Sn 0.284 0.821 0.592
Sn 0.400 0.167 0.076
Sn 0.400 0.333 0.576
Sn 0.600 0.667 0.424
Sn 0.600 0.833 0.924
Sn 0.716 0.179 0.408
Sn 0.716 0.321 0.908
Sn 0.905 0.522 0.209
Sn 0.905 0.978 0.709
Ir 0.305 0.132 0.781
Ir 0.305 0.368 0.281
Ir 0.695 0.632 0.719
Ir 0.695 0.868 0.219
Pd 0.000 0.000 0.000
Pd 0.000 0.500 0.500

Computed, not measured: Sn2IrPd after structural relaxation at the PBE level of DFT.

Its volume is 18.2 Å³ per atom. The calculation puts the distance to the lowest polymorph of the same formula at 0.0338 eV/atom. The formation energy comes out at -0.1666 eV/atom.

Cell: 4.691 4.691 4.691 Å, 60.00 60.00 60.00°
Positions (direct):
Sn 0.250 0.250 0.250
Sn 0.750 0.750 0.750
Ir 0.000 0.000 0.000
Pd 0.500 0.500 0.500

Computed, not measured: Sn2IrPd after structural relaxation at the PBE level of DFT.

Its volume is 20.6 Å³ per atom. The calculation puts the distance to the lowest polymorph of the same formula at 0.0000 eV/atom. The formation energy comes out at -0.2004 eV/atom.

Cell: 5.882 5.882 5.882 Å, 41.98 41.98 41.98°
Positions (direct):
Sn 0.000 0.000 0.000
Sn 0.187 0.187 0.187
Ir 0.598 0.598 0.598
Pd 0.420 0.420 0.420

Computed, not measured: Sn6IrPd after structural relaxation at the PBE level of DFT.

Its volume is 25.5 Å³ per atom. The formation energy comes out at -0.1366 eV/atom.

Cell: 5.756 6.061 6.857 Å, 72.55 69.65 68.05°
Positions (direct):
Sn 0.027 0.291 0.196
Sn 0.280 0.081 0.684
Sn 0.425 0.575 0.224
Sn 0.575 0.425 0.776
Sn 0.720 0.919 0.316
Sn 0.973 0.709 0.804
Ir 0.000 0.500 0.500
Pd 0.500 0.000 0.000

Computed, not measured: Sn6Ir2Pd after structural relaxation at the PBE level of DFT.

Its volume is 23.4 Å³ per atom. The calculation puts the distance to the lowest polymorph of the same formula at 0.0000 eV/atom. The formation energy comes out at -0.2187 eV/atom.

Cell: 10.710 10.710 6.349 Å, 90.00 90.00 120.00°
Positions (direct):
Sn 0.111 0.222 0.185
Sn 0.111 0.889 0.185
Sn 0.113 0.557 0.308
Sn 0.216 0.432 0.782
Sn 0.216 0.784 0.782
Sn 0.222 0.111 0.815
Sn 0.432 0.216 0.218
Sn 0.443 0.557 0.308
Sn 0.443 0.887 0.308
Sn 0.557 0.113 0.692
Sn 0.557 0.443 0.692
Sn 0.568 0.784 0.782
Sn 0.778 0.889 0.185
Sn 0.784 0.216 0.218
Sn 0.784 0.568 0.218
Sn 0.887 0.443 0.692
Sn 0.889 0.111 0.815
Sn 0.889 0.778 0.815
Ir 0.000 0.300 0.500
Ir 0.000 0.700 0.500
Ir 0.300 0.000 0.500
Ir 0.300 0.300 0.500
Ir 0.700 0.000 0.500
Ir 0.700 0.700 0.500
Pd 0.000 0.000 0.500
Pd 0.333 0.667 0.025
Pd 0.667 0.333 0.975

Computed, not measured: SnIrPd3 after structural relaxation at the PBE level of DFT.

Its volume is 23.0 Å³ per atom. The calculation puts the distance to the lowest polymorph of the same formula at 0.0000 eV/atom. The formation energy comes out at 0.9005 eV/atom.

Cell: 4.864 4.864 4.864 Å, 90.00 90.00 90.00°
Positions (direct):
Sn 0.000 0.000 0.000
Ir 0.500 0.500 0.500
Pd 0.000 0.500 0.500
Pd 0.500 0.000 0.500
Pd 0.500 0.500 0.000

Computed, not measured: Sn4IrPd after structural relaxation at the PBE level of DFT.

Its volume is 22.6 Å³ per atom. The calculation puts the distance to the lowest polymorph of the same formula at 0.0000 eV/atom. The formation energy comes out at -0.3314 eV/atom.

Cell: 4.586 4.586 6.447 Å, 90.00 90.00 90.00°
Positions (direct):
Sn 0.000 0.500 0.247
Sn 0.000 0.500 0.753
Sn 0.500 0.000 0.247
Sn 0.500 0.000 0.753
Ir 0.000 0.000 0.000
Pd 0.500 0.500 0.500

Computed, not measured: Sn2IrPd after structural relaxation at the PBE level of DFT.

Its volume is 21.2 Å³ per atom. The calculation puts the distance to the lowest polymorph of the same formula at 0.0383 eV/atom. The formation energy comes out at -0.1621 eV/atom.

Cell: 3.821 6.830 7.326 Å, 67.21 75.01 89.83°
Positions (direct):
Sn 0.066 0.342 0.375
Sn 0.255 0.815 0.990
Sn 0.745 0.185 0.010
Sn 0.934 0.658 0.625
Ir 0.115 0.010 0.273
Ir 0.885 0.990 0.727
Pd 0.397 0.335 0.701
Pd 0.603 0.665 0.299

Computed, not measured: Sn3IrPd after structural relaxation at the PBE level of DFT.

Its volume is 26.5 Å³ per atom. The calculation puts the distance to the lowest polymorph of the same formula at 0.4359 eV/atom. The formation energy comes out at 0.2958 eV/atom.

Cell: 5.098 5.098 5.098 Å, 90.00 90.00 90.00°
Positions (direct):
Sn 0.000 0.000 0.500
Sn 0.000 0.500 0.000
Sn 0.500 0.000 0.000
Ir 0.000 0.000 0.000
Pd 0.500 0.500 0.500

Computed, not measured: Sn12IrPd6 after structural relaxation at the PBE level of DFT.

Its volume is 24.2 Å³ per atom. The formation energy comes out at -0.3190 eV/atom.

Cell: 7.811 7.811 7.811 Å, 98.34 98.34 98.34°
Positions (direct):
Sn 0.048 0.908 0.322
Sn 0.092 0.678 0.952
Sn 0.173 0.435 0.561
Sn 0.322 0.048 0.908
Sn 0.435 0.561 0.173
Sn 0.439 0.827 0.565
Sn 0.561 0.173 0.435
Sn 0.565 0.439 0.827
Sn 0.678 0.952 0.092
Sn 0.827 0.565 0.439
Sn 0.908 0.322 0.048
Sn 0.952 0.092 0.678
Ir 0.500 0.500 0.500
Pd 0.104 0.791 0.644
Pd 0.209 0.356 0.896
Pd 0.356 0.896 0.209
Pd 0.644 0.104 0.791
Pd 0.791 0.644 0.104
Pd 0.896 0.209 0.356

Computed, not measured: Sn6IrPd3 after structural relaxation at the PBE level of DFT.

Its volume is 21.8 Å³ per atom. The formation energy comes out at -0.3164 eV/atom.

Cell: 7.172 6.657 10.854 Å, 90.00 122.73 90.00°
Positions (direct):
Sn 0.075 0.010 0.266
Sn 0.075 0.490 0.766
Sn 0.250 0.168 0.597
Sn 0.250 0.332 0.097
Sn 0.395 0.641 0.566
Sn 0.395 0.859 0.066
Sn 0.605 0.141 0.934
Sn 0.605 0.359 0.434
Sn 0.750 0.668 0.903
Sn 0.750 0.832 0.403
Sn 0.925 0.510 0.234
Sn 0.925 0.990 0.734
Ir 0.000 0.000 0.000
Ir 0.000 0.500 0.500
Pd 0.292 0.667 0.262
Pd 0.292 0.833 0.762
Pd 0.500 0.000 0.500
Pd 0.500 0.500 0.000
Pd 0.708 0.167 0.238
Pd 0.708 0.333 0.738